DFT (PBE with a Hubbard U) results for InMoCF2 after structural relaxation.

abc: 4.109 4.109 6.400
angles: 90.00 90.00 90.00
Space group P4/mmm (No. 123)
Symmetry-distinct sites (fractional):
1 In 0.000 0.000 0.000
2 Mo 0.000 0.000 0.500
3 C 0.500 0.500 0.000
4 F 0.000 0.500 0.500

Results
DOS(E_F) (states/eV/f.u.): 1.726
Crystal system: tetragonal
E (eV per atom): -4.348